[1]
BeCoP after structural relaxation. Source: Alexandria via LeMat-Bulk, functional PBE.

a b c (Å): 3.965 3.965 3.965
angles (deg): 136.02 136.01 63.96
Element x y z (fractional)
P1 0.672 0.672 0.000
Co1 0.331 0.331 0.000
Be1 0.998 0.998 0.000

Results
Its offset from the most stable computed form is 1.6 kJ per mole of atoms. The value obtained for the density of states at the Fermi level is 0.513 states/eV/atom. The formation energy is -92 kJ/mol of formula units. Its space-group type is I4mm, No. 107. The mass density is 5.5 g/cm³.

[2]
Be2CoP after structural relaxation. Source: Alexandria via LeMat-Bulk, functional PBE.

a b c (Å): 4.093 4.093 4.106
angles (deg): 132.30 132.29 69.85
Element x y z (fractional)
P1 0.251 0.749 0.500
Co1 0.500 0.500 0.000
Be1 0.000 0.000 0.000
Be2 0.750 0.250 0.500

Results
The value obtained for the density of states at the Fermi level is 0.376 states/eV/atom. The formation energy is -88 kJ/mol of formula units. Its space-group type is C2, No. 5. The mass density is 4.9 g/cm³.

[3]
Be2Co2P after structural relaxation. Source: Alexandria via LeMat-Bulk, functional PBE.

a b c (Å): 5.511 5.511 3.079
angles (deg): 90.00 90.00 90.00
Element x y z (fractional)
P1 0.000 0.000 0.000
P2 0.500 0.500 0.000
Co1 0.169 0.669 0.500
Co2 0.669 0.831 0.500
Co3 0.831 0.331 0.500
Co4 0.331 0.169 0.500
Be1 0.372 0.872 0.000
Be2 0.872 0.628 0.000
Be3 0.628 0.128 0.000
Be4 0.128 0.372 0.000

Results
Its offset from the most stable computed form is 8.9 kJ per mole of atoms. The value obtained for the density of states at the Fermi level is 0.693 states/eV/atom. The formation energy is -63 kJ/mol of formula units. Its space-group type is P4/mbm, No. 127. The mass density is 5.9 g/cm³.

[4]
BeCo2P after structural relaxation. Source: Alexandria via LeMat-Bulk, functional PBE.

a b c (Å): 5.737 5.737 5.737
angles (deg): 153.77 45.23 143.83
Element x y z (fractional)
Be1 0.000 0.000 0.000
Co1 0.706 0.000 0.706
Co2 0.294 0.000 0.294
P1 0.500 0.000 0.500

Results
Its offset from the most stable computed form is 78.8 kJ per mole of atoms. The value obtained for the density of states at the Fermi level is 0.932 states/eV/atom. The formation energy is 146 kJ/mol of formula units. Its space-group type is Immm, No. 71. The mass density is 5.3 g/cm³.

[5]
Be2CoP after structural relaxation. Source: Alexandria via LeMat-Bulk, functional PBE.

a b c (Å): 3.951 3.951 2.652
angles (deg): 90.00 90.00 111.79
Element x y z (fractional)
P1 0.000 0.500 0.500
Co1 0.500 0.000 0.500
Be1 0.000 0.000 0.000
Be2 0.500 0.500 0.000

Results
The value obtained for the density of states at the Fermi level is 0.381 states/eV/atom. The formation energy is -42 kJ/mol of formula units. Its space-group type is Cmmm, No. 65. The mass density is 4.7 g/cm³.

[6]
BeCo2P after structural relaxation. Source: Alexandria via LeMat-Bulk, functional PBE.

a b c (Å): 6.033 6.033 4.929
angles (deg): 52.27 52.27 90.00
Element x y z (fractional)
P1 0.000 0.000 0.000
P2 0.750 0.250 0.500
Co1 0.659 0.125 0.250
Co2 0.091 0.625 0.250
Co3 0.375 0.341 0.750
Co4 0.875 0.909 0.750
Be1 0.500 0.500 0.000
Be2 0.250 0.750 0.500

Results
Its offset from the most stable computed form is 50.8 kJ per mole of atoms. The value obtained for the density of states at the Fermi level is 0.619 states/eV/atom. The formation energy is 34 kJ/mol of formula units. Its space-group type is I-42d, No. 122. The mass density is 5.8 g/cm³.

Repeat the sixth record exactly.
BeCo2P after structural relaxation. Source: Alexandria via LeMat-Bulk, functional PBE.

a b c (Å): 6.033 6.033 4.929
angles (deg): 52.27 52.27 90.00
Element x y z (fractional)
P1 0.000 0.000 0.000
P2 0.750 0.250 0.500
Co1 0.659 0.125 0.250
Co2 0.091 0.625 0.250
Co3 0.375 0.341 0.750
Co4 0.875 0.909 0.750
Be1 0.500 0.500 0.000
Be2 0.250 0.750 0.500

Results
Its offset from the most stable computed form is 50.8 kJ per mole of atoms. The value obtained for the density of states at the Fermi level is 0.619 states/eV/atom. The formation energy is 34 kJ/mol of formula units. Its space-group type is I-42d, No. 122. The mass density is 5.8 g/cm³.

- Look up the mass density of the fourth one.
  5.3 g/cm³

- Number 4 is which compound?
  BeCo2P